Entry 1:
This record from the Alexandria database describes a relaxed BaScSi2 crystal. The functional is PBE.

The calculation puts the uncorrected formation energy at -0.44 kcal/mol of atoms. The mass density is 4.0 g/cm³. For the energy above the most stable polymorph in this dataset, the calculation gives 0.4191 eV per atom. The crystal system is orthorhombic.

The structure belongs to space group Pmm2 (No. 25); the cell edges are 3.432, 3.444 and 8.420 Å and the angles 90.00°, 90.00° and 90.00°. The asymmetric unit holds Ba at (0.000, 0.000, 0.000), Sc at (0.500, 0.500, 0.396), Si at (0.000, 0.000, 0.596) and Si at (0.500, 0.500, 0.712).

---

Entry 2:
This record from the Alexandria database describes a relaxed Ca3LaRh8 crystal. The functional is PBE.

As for the energy relative to the elements: -0.50 eV per atom. The mass density is 8.1 g/cm³. The crystal system is trigonal.

The structure belongs to space group R3m (No. 160, hexagonal axes); the cell edges are 5.3758, 5.3758 and 26.4459 Å and the angles 90.00°, 90.00° and 120.00°. The asymmetric unit holds Ca at (0.0000, 0.0000, 0.0000), Ca at (0.0000, 0.0000, 0.1228), Ca at (0.0000, 0.0000, 0.6275), La at (0.0000, 0.0000, 0.5007), Rh at (0.0000, 0.0000, 0.3129), Rh at (0.0000, 0.0000, 0.8125), Rh at (0.9999, 0.5000, 0.0625) and Rh at (0.9998, 0.4999, 0.5632).

---

Entry 3:
This record from the Alexandria database describes a relaxed InAg2Te crystal. The functional is PBE.

The calculation puts the uncorrected formation energy at 0.94 kcal/mol of atoms. The mass density is 7.4 g/cm³. For the energy above the most stable polymorph in this dataset, the calculation gives 0.0328 eV per atom. The crystal system is tetragonal.

The structure belongs to space group I-42d (No. 122); the cell edges are 4.736, 4.736 and 18.449 Å and the angles 90.00°, 90.00° and 90.00°. The asymmetric unit holds In at (0.000, 0.000, 0.000), Ag at (0.218, 0.250, 0.125) and Te at (0.000, 0.000, 0.500).

---

Entry 4:
This record from the Alexandria database describes a relaxed Y2PtPb crystal. The functional is PBE.

As for the energy relative to the elements: -0.33 eV per atom. The mass density is 8.3 g/cm³. The crystal system is trigonal.

The structure belongs to space group R3m (No. 160, hexagonal axes); the cell edges are 3.9026, 3.9026 and 26.5389 Å and the angles 90.00°, 90.00° and 120.00°. The asymmetric unit holds Y at (0.0000, 0.0000, 0.0000), Y at (0.0000, 0.0000, 0.2177), Pt at (0.0000, 0.0000, 0.4893) and Pb at (0.0000, 0.0000, 0.7569).

---

Entry 5:
This record from the Alexandria database describes a relaxed KNa2In2 crystal. The functional is PBE.

As for the energy relative to the elements: -0.06 eV per atom. The mass density is 3.4 g/cm³. For the energy above the most stable polymorph in this dataset, the calculation gives 0.0000 eV per atom. The crystal system is monoclinic.

The structure belongs to space group C2/m (No. 12); the cell edges are 9.334, 5.378 and 6.835 Å and the angles 90.00°, 117.16° and 90.00°. The asymmetric unit holds K at (0.000, 0.000, 0.000), Na at (0.087, 0.500, 0.760) and In at (0.198, 0.000, 0.592).

---

Entry 6:
This record from the Alexandria database describes a relaxed MnNb2CdW crystal. The functional is PBE.

As for the energy relative to the elements: 1.23 eV per atom. The mass density is 8.0 g/cm³. The crystal system is tetragonal.

The structure belongs to space group P4/mmm (No. 123); the cell edges are 4.878, 4.878 and 4.702 Å and the angles 90.00°, 90.00° and 90.00°. The asymmetric unit holds Mn at (0.000, 0.000, 0.000), Nb at (0.000, 0.500, 0.500), Cd at (0.500, 0.500, 0.000) and W at (0.000, 0.000, 0.500).

---

Entry 7:
This record from the Alexandria database describes a relaxed CaCd2 crystal. The functional is PBE.

As for the energy relative to the elements: -0.09 eV per atom. The mass density is 4.7 g/cm³. The crystal system is tetragonal.

The structure belongs to space group P4/mmm (No. 123); the cell edges are 4.322, 4.322 and 5.056 Å and the angles 90.00°, 90.00° and 90.00°. The asymmetric unit holds Ca at (0.000, 0.000, 0.000) and Cd at (0.000, 0.500, 0.500).

---

Entry 8:
This record from the Alexandria database describes a relaxed ZnCr2Ag crystal. The functional is PBE.

As for the energy relative to the elements: 0.27 eV per atom. The mass density is 7.9 g/cm³. The crystal system is trigonal.

The structure belongs to space group R3m (No. 160, hexagonal axes); the cell edges are 2.8180, 2.8180 and 25.3457 Å and the angles 90.00°, 90.00° and 120.00°. The asymmetric unit holds Zn at (0.0000, 0.0000, 0.0000), Cr at (0.0000, 0.0000, 0.4803), Cr at (0.0000, 0.0000, 0.7539) and Ag at (0.0000, 0.0000, 0.2418).

---

Entry 9:
This record from the Alexandria database describes a relaxed Cs2NbBr6N crystal. The functional is PBE.

The calculation puts the uncorrected formation energy at -15.57 kcal/mol of atoms. The mass density is 3.8 g/cm³. The crystal system is tetragonal.

The structure belongs to space group I4/mmm (No. 139); the cell edges are 8.057, 8.057 and 11.417 Å and the angles 90.00°, 90.00° and 90.00°. The asymmetric unit holds Cs at (0.000, 0.500, 0.250), Nb at (0.000, 0.000, 0.000), Br at (0.000, 0.000, 0.228), Br at (0.228, 0.228, 0.000) and N at (0.000, 0.000, 0.500).

---

Entry 10:
This record from the Alexandria database describes a relaxed Pu4SiGe2 crystal. The functional is PBE.

The calculation puts the uncorrected formation energy at 2.45 kcal/mol of atoms. The mass density is 12.6 g/cm³. For the energy above the most stable polymorph in this dataset, the calculation gives 0.2280 eV per atom. The crystal system is trigonal.

The structure belongs to space group R-3m (No. 166, hexagonal axes); the cell edges are 3.5324, 3.5324 and 41.9022 Å and the angles 90.00°, 90.00° and 120.00°. The asymmetric unit holds Pu at (0.0000, 0.0000, 0.1199), Pu at (0.0000, 0.0000, 0.2447), Si at (0.0000, 0.0000, 0.5000) and Ge at (0.0000, 0.0000, 0.3143).

---

Entry 11:
This record from the Alexandria database describes a relaxed LaAlRu2 crystal. The functional is PBE.

As for the energy relative to the elements: 0.24 eV per atom. The mass density is 8.2 g/cm³. The crystal system is cubic.

The structure belongs to space group F-43m (No. 216); the cell edges are 6.685, 6.685 and 6.685 Å and the angles 90.00°, 90.00° and 90.00°. The asymmetric unit holds La at (0.000, 0.000, 0.000), Al at (0.250, 0.250, 0.750), Ru at (0.000, 0.000, 0.500) and Ru at (0.250, 0.250, 0.250).

---

Entry 12:
This record from the Alexandria database describes a relaxed Y2ErZn2 crystal. The functional is PBE.

As for the energy relative to the elements: -0.25 eV per atom. The mass density is 6.3 g/cm³. For the energy above the most stable polymorph in this dataset, the calculation gives 0.0295 eV per atom. The crystal system is tetragonal.

The structure belongs to space group P4/mbm (No. 127); the cell edges are 8.190, 8.190 and 3.746 Å and the angles 90.00°, 90.00° and 90.00°. The asymmetric unit holds Y at (0.167, 0.333, 0.000), Er at (0.000, 0.000, 0.500) and Zn at (0.130, 0.630, 0.500).

---

Which formula does entry 9 have? Cs2NbBr6N